Model i:
Below is a geometry-optimized Ca5P3 structure, with properties calculated at the PBE-GGA level.

Cell lengths 7.0573, 7.0573, 4.4728 Å; angles 90.00, 90.00, 113.90 degrees
With the nearest neighbours (Å) after each atom.
Sites, in units of the cell vectors:
1 Ca 0.2880 0.2880 0.5000  4 P 2.77-2.97
2 P 0.1676 0.8324 0.5000  8 Ca 2.97-3.11
3 P 0.8324 0.1676 0.5000  8 Ca 2.97-3.11
4 P 0.5000 0.5000 0.0000  4 Ca 2.77
5 Ca 0.5000 0.0000 0.0000  4 P 3.11
6 Ca 0.0000 0.5000 0.0000  4 P 3.11
7 Ca 0.7120 0.7120 0.5000  4 P 2.77-2.97
8 Ca 0.0000 0.0000 0.0000  4 P 2.99, 4 Ca 3.15



Model ii:
Below is a geometry-optimized Ca5P3 structure, with properties calculated at the PBE-GGA level.

Cell lengths 6.9658, 7.9625, 8.4594 Å; angles 83.81, 65.69, 74.83 degrees
With the nearest neighbours (Å) after each atom.
Sites, in units of the cell vectors:
1 P 0.9243 0.7904 0.5000  8 Ca 2.85-3.16
2 Ca 0.7353 0.5130 0.5000  4 P 2.85-2.94
3 Ca 0.2635 0.4879 0.5000  4 P 2.85-2.94
4 P 0.3426 0.5004 0.8137  8 Ca 2.94-3.17
5 Ca 0.9996 0.2913 0.8816  5 P 2.84-3.16
6 P 0.6564 0.5004 0.1863  8 Ca 2.94-3.17
7 Ca 0.6315 0.1160 0.7212  5 P 2.88-3.17
8 P 0.7430 0.0004 0.0134  8 Ca 2.84-3.13
9 Ca 0.1466 0.8848 0.7212  5 P 2.88-3.17
10 Ca 0.9997 0.7095 0.1184  5 P 2.84-3.16
11 P 0.2564 0.0004 0.9866  8 Ca 2.84-3.13
12 Ca 0.3678 0.8848 0.2788  5 P 2.88-3.17
13 P 0.0746 0.2105 0.5000  8 Ca 2.85-3.16
14 Ca 0.6181 0.7095 0.8816  5 P 2.84-3.16
15 Ca 0.3812 0.2913 0.1184  5 P 2.84-3.16
16 Ca 0.8527 0.1160 0.2788  5 P 2.88-3.17



Need the numbers? Relative energies in meV/atom: model i 81; model ii 0.



Model i:
Below is a geometry-optimized CaPaP2 structure, with properties calculated at the PBE-GGA level.

Cell lengths 4.0532, 4.0532, 7.0054 Å; angles 73.18, 73.18, 60.00 degrees
With the nearest neighbours (Å) after each atom.
Sites, in units of the cell vectors:
1 Pa 0.0000 0.0000 0.0000  6 P 2.79
2 Ca 0.5000 0.5000 0.5000  6 P 2.94
3 P 0.7436 0.7436 0.7693  3 Pa 2.79, 3 Ca 2.94
4 P 0.2564 0.2564 0.2307  3 Pa 2.79, 3 Ca 2.94



Model ii:
Below is a geometry-optimized CaPaP2 structure, with properties calculated at the PBE-GGA level.

Cell lengths 4.0427, 4.0427, 13.2950 Å; angles 90.00, 90.00, 120.00 degrees
With the nearest neighbours (Å) after each atom.
Sites, in units of the cell vectors:
1 Pa 0.0000 0.0000 0.0000  6 P 2.79
2 Ca 0.3333 0.6667 0.7500  6 P 2.95
3 P 0.6667 0.3333 0.8853  3 Pa 2.79, 3 Ca 2.95
4 Ca 0.6667 0.3333 0.2500  6 P 2.95
5 P 0.3333 0.6667 0.3853  3 Pa 2.79, 3 Ca 2.95
6 Pa 0.0000 0.0000 0.5000  6 P 2.79
7 P 0.3333 0.6667 0.1147  3 Pa 2.79, 3 Ca 2.95
8 P 0.6667 0.3333 0.6147  3 Pa 2.79, 3 Ca 2.95



Need the numbers? Relative energies in meV/atom: model i 0; model ii 21.



Model i:
Below is a geometry-optimized CaPPb3 structure, with properties calculated at the PBE-GGA level.

Cell lengths 5.5004, 5.5004, 5.5004 Å; angles 90.00, 90.00, 90.00 degrees
With the nearest neighbours (Å) after each atom.
Sites, in units of the cell vectors:
1 Pb 0.0000 0.5000 0.0000  2 P 2.75
2 Pb 0.0000 0.0000 0.5000  2 P 2.75
3 P 0.0000 0.0000 0.0000  6 Pb 2.75
4 Ca 0.5000 0.5000 0.5000  12 Pb 3.89
5 Pb 0.5000 0.0000 0.0000  2 P 2.75



Model ii:
Below is a geometry-optimized CaPPb3 structure, with properties calculated at the PBE-GGA level.

Cell lengths 5.8081, 5.8081, 5.8081 Å; angles 90.00, 90.00, 90.00 degrees
With the nearest neighbours (Å) after each atom.
Sites, in units of the cell vectors:
1 P 0.5000 0.5000 0.5000  12 Pb 4.11
2 Pb 0.0000 0.5000 0.0000  2 Ca 2.90
3 Ca 0.0000 0.0000 0.0000  6 Pb 2.90
4 Pb 0.0000 0.0000 0.5000  2 Ca 2.90
5 Pb 0.5000 0.0000 0.0000  2 Ca 2.90



Need the numbers? Relative energies in meV/atom: model i 0; model ii 879.



Model i:
Below is a geometry-optimized CaP3Pb structure, with properties calculated at the PBE-GGA level.

Cell lengths 5.1793, 5.1793, 5.1793 Å; angles 90.00, 90.00, 90.00 degrees
With the nearest neighbours (Å) after each atom.
Sites, in units of the cell vectors:
1 P 0.5000 0.0000 0.0000  2 Ca 2.59
2 P 0.0000 0.5000 0.0000  2 Ca 2.59
3 Pb 0.5000 0.5000 0.5000  12 P 3.66
4 Ca 0.0000 0.0000 0.0000  6 P 2.59
5 P 0.0000 0.0000 0.5000  2 Ca 2.59



Model ii:
Below is a geometry-optimized CaP3Pb structure, with properties calculated at the PBE-GGA level.

Cell lengths 5.2038, 5.2038, 5.2038 Å; angles 90.00, 90.00, 90.00 degrees
With the nearest neighbours (Å) after each atom.
Sites, in units of the cell vectors:
1 P 0.5000 0.0000 0.0000  2 Pb 2.60
2 P 0.0000 0.5000 0.0000  2 Pb 2.60
3 Pb 0.0000 0.0000 0.0000  6 P 2.60
4 P 0.0000 0.0000 0.5000  2 Pb 2.60
5 Ca 0.5000 0.5000 0.5000  12 P 3.68



Need the numbers? Relative energies in meV/atom: model i 127; model ii 0.



Model i:
Below is a geometry-optimized Ca4PPb structure, with properties calculated at the PBE-GGA level.

Cell lengths 6.4159, 6.4159, 6.4159 Å; angles 60.00, 60.00, 60.00 degrees
With the nearest neighbours (Å) after each atom.
Sites, in units of the cell vectors:
1 P 0.7500 0.7500 0.7500  12 Ca 3.76, 4 Pb 3.93
2 Pb 0.0000 0.0000 0.0000  12 Ca 3.76, 4 P 3.93
3 Ca 0.8740 0.3753 0.3753  6 Ca 3.20-3.22
4 Ca 0.3753 0.3753 0.8740  6 Ca 3.20-3.22
5 Ca 0.3753 0.3753 0.3753  6 Ca 3.20-3.22
6 Ca 0.3753 0.8740 0.3753  6 Ca 3.20-3.22



Model ii:
Below is a geometry-optimized Ca4PPb structure, with properties calculated at the PBE-GGA level.

Cell lengths 5.1025, 5.1025, 7.2737 Å; angles 90.00, 90.00, 90.00 degrees
With the nearest neighbours (Å) after each atom.
Sites, in units of the cell vectors:
1 Ca 0.5000 0.0000 0.2663  2 P 3.07, 2 Pb 3.20, 1 Ca 3.40
2 Ca 0.5000 0.0000 0.7337  2 P 3.07, 2 Pb 3.20, 1 Ca 3.40
3 Ca 0.0000 0.5000 0.7337  2 P 3.07, 2 Pb 3.20, 1 Ca 3.40
4 Pb 0.0000 0.0000 0.0000  8 Ca 3.20
5 P 0.5000 0.5000 0.5000  8 Ca 3.07
6 Ca 0.0000 0.5000 0.2663  2 P 3.07, 2 Pb 3.20, 1 Ca 3.40



Need the numbers? Relative energies in meV/atom: model i 936; model ii 0.



Model i:
Below is a geometry-optimized Ca2P2Pd structure, with properties calculated at the PBE-GGA level.

Cell lengths 4.2730, 5.6115, 9.6021 Å; angles 81.89, 77.14, 67.62 degrees
With the nearest neighbours (Å) after each atom.
Sites, in units of the cell vectors:
1 P 0.6123 0.8790 0.8964  1 P 2.38, 1 Pd 2.48
2 P 0.9710 0.6507 0.4072  1 P 2.26, 2 Pd 2.43
3 Ca 0.2913 0.7744 0.6430  7 P 2.99-3.26, 4 Pd 3.02-3.09
4 Ca 0.7087 0.2256 0.3570  7 P 2.99-3.26, 4 Pd 3.02-3.09
5 Pd 0.5601 0.1936 0.6863  3 P 2.43-2.48
6 P 0.0290 0.3493 0.5928  1 P 2.26, 2 Pd 2.43
7 Pd 0.4399 0.8064 0.3137  3 P 2.43-2.48
8 P 0.3877 0.1210 0.1036  1 P 2.38, 1 Pd 2.48
9 Ca 0.9016 0.2952 0.9017  6 P 2.89-3.04, 2 Pd 3.01
10 Ca 0.0984 0.7048 0.0983  6 P 2.89-3.04, 2 Pd 3.01



Model ii:
Below is a geometry-optimized Ca2P2Pd structure, with properties calculated at the PBE-GGA level.

Cell lengths 6.7671, 6.7671, 4.2618 Å; angles 90.00, 90.00, 90.00 degrees
With the nearest neighbours (Å) after each atom.
Sites, in units of the cell vectors:
1 P 0.3801 0.8801 0.0000  1 P 2.30
2 Ca 0.8209 0.3209 0.5000  6 P 2.87-2.97
3 Pd 0.5000 0.5000 0.0000  4 P 2.70
4 P 0.8801 0.6199 0.0000  1 P 2.30
5 Pd 0.0000 0.0000 0.0000  4 P 2.70
6 Ca 0.1791 0.6791 0.5000  6 P 2.87-2.97
7 P 0.1199 0.3801 0.0000  1 P 2.30
8 P 0.6199 0.1199 0.0000  1 P 2.30
9 Ca 0.6791 0.8209 0.5000  6 P 2.87-2.97
10 Ca 0.3209 0.1791 0.5000  6 P 2.87-2.97



Need the numbers? Relative energies in meV/atom: model i 0; model ii 80.